The following is a DFT calculation (GGA+U) of an optimized crystal structure of Ca2Ni3O8.

a = 5.921 Å, b = 5.921 Å, c = 10.358 Å
α = 90.00°, β = 90.00°, γ = 120.00°
Positions (direct):
Ca: 0.333 0.667 0.000
Ca: 0.333 0.667 0.405
Ca: 0.667 0.333 0.500
Ca: 0.667 0.333 0.905
Ni: 0.166 0.332 0.721
Ni: 0.166 0.834 0.721
Ni: 0.332 0.166 0.221
Ni: 0.668 0.834 0.721
Ni: 0.834 0.166 0.221
Ni: 0.834 0.668 0.221
O: 0.000 0.000 0.318
O: 0.000 0.000 0.818
O: 0.044 0.522 0.818
O: 0.150 0.300 0.128
O: 0.150 0.850 0.128
O: 0.300 0.150 0.628
O: 0.333 0.667 0.624
O: 0.478 0.522 0.818
O: 0.478 0.956 0.818
O: 0.522 0.044 0.318
O: 0.522 0.478 0.318
O: 0.667 0.333 0.124
O: 0.700 0.850 0.128
O: 0.850 0.150 0.628
O: 0.850 0.700 0.628
O: 0.956 0.478 0.318

uncorrected energy = -0.37568 Ry per atom
E above lowest polymorph = 119 meV per atom